(1)
A plane-wave DFT calculation with PBE was carried out for a geometry-optimized NaMgHgF5 structure.

The space group is C2/c (No. 15) and the conventional cell measures 7.2723, 9.4698 and 7.9272 Å, with angles of 90.00, 113.41 and 90.00 degrees. The distinct sites, in fractional coordinates, are Na at (0.0000, 0.1541, 0.2500), Mg at (0.0000, 0.5000, 0.0000), Hg at (0.0000, 0.2096, 0.7500), F at (0.0000, 0.4618, 0.7500), F at (0.0269, 0.2876, 0.4888) and F at (0.2026, 0.0249, 0.8888).

The electronic total energy comes out at -4.083 eV/atom.

(2)
A plane-wave DFT calculation with PBE was carried out for a geometry-optimized Na2MgHgF8 structure.

The space group is P-1 (No. 2) and the conventional cell measures 4.8338, 5.3359 and 6.7607 Å, with angles of 89.92, 89.91 and 87.77 degrees. The distinct sites, in fractional coordinates, are Na at (0.0000, 0.0001, 0.2357), Mg at (0.5000, 0.5000, 0.0000), Hg at (0.5000, 0.5000, 0.5000), F at (0.2180, 0.8050, 0.4999), F at (0.2280, 0.7798, 0.0001), F at (0.3005, 0.3365, 0.7631) and F at (0.3009, 0.3364, 0.2376).

The electronic total energy comes out at -3.778 eV/atom.

(3)
A plane-wave DFT calculation with PBE was carried out for a geometry-optimized Na2MgHgF6 structure.

The space group is R3 (No. 146, hexagonal axes) and the conventional cell measures 5.7163, 5.7163 and 14.8251 Å, with angles of 90.00, 90.00 and 120.00 degrees. The distinct sites, in fractional coordinates, are Na at (0.0000, 0.0000, 0.0000), Na at (0.0000, 0.0000, 0.4932), Mg at (0.0000, 0.0000, 0.7072), Hg at (0.0000, 0.0000, 0.2139), F at (0.0094, 0.6241, 0.4414) and F at (0.0646, 0.3834, 0.2853).

The electronic total energy comes out at -4.161 eV/atom.

(4)
A plane-wave DFT calculation with PBE was carried out for a geometry-optimized NaMgHg2F8 structure.

The space group is P-1 (No. 2) and the conventional cell measures 4.9196, 5.1305 and 7.1860 Å, with angles of 87.17, 87.86 and 87.85 degrees. The distinct sites, in fractional coordinates, are Na at (0.0000, 0.0000, 0.0000), Mg at (0.0000, 0.0000, 0.5000), Hg at (0.4899, 0.4914, 0.2558), F at (0.1818, 0.8138, 0.7200), F at (0.1862, 0.8174, 0.2834), F at (0.2834, 0.2803, 0.4917) and F at (0.3109, 0.3080, 0.9826).

The electronic total energy comes out at -3.610 eV/atom.

(5)
A plane-wave DFT calculation with PBE was carried out for a geometry-optimized MgHgOF2 structure.

The space group is P4/mmm (No. 123) and the conventional cell measures 4.5136, 4.5136 and 4.2649 Å, with angles of 90.00, 90.00 and 90.00 degrees. The distinct sites, in fractional coordinates, are Mg at (0.0000, 0.0000, 0.0000), Hg at (0.5000, 0.5000, 0.5000), O at (0.5000, 0.5000, 0.0000) and F at (0.0000, 0.5000, 0.5000).

The calculation puts the excess energy over the best structure of this formula in the dataset at 22.53 kcal/mol of atoms. The electronic total energy comes out at -3.080 eV/atom.

(6)
A plane-wave DFT calculation with PBE was carried out for a geometry-optimized MgHgOF2 structure.

The space group is P4/mmm (No. 123) and the conventional cell measures 3.7876, 3.7876 and 4.4067 Å, with angles of 90.00, 90.00 and 90.00 degrees. The distinct sites, in fractional coordinates, are Mg at (0.0000, 0.0000, 0.0000), Hg at (0.5000, 0.5000, 0.5000), O at (0.0000, 0.0000, 0.5000) and F at (0.0000, 0.5000, 0.0000).

The calculation puts the excess energy over the best structure of this formula in the dataset at 0.00 kcal/mol of atoms. The electronic total energy comes out at -4.057 eV/atom.

Question: Which of these has the highest electronic total energy?
Answer: number 5

Question: Which of these has the highest electronic total energy?
Answer: number 5